(1)
Compound: TbPm2Y3S6
Source: Alexandria via LeMat-Bulk
Functional: PBE
Structure: optimized geometry

Values from the calculation:
density of states at the Fermi level	0.430	states/eV per atom
calculated volume	21.9	A^3/atom
VASP energy	-6.873	eV per atom
formation energy without anion corrections	-2.02	eV per atom
symmetry	C2/m

a b c (Å): 6.8539 6.8539 6.8672
angles (deg): 99.54 99.54 120.18
Fractional positions:
Y 0.1694 0.8306 0.5000
S 0.7589 0.7589 0.2587
Pm 0.3330 0.6670 0.0000
Tb 0.0000 0.0000 0.0000
S 0.4132 0.0856 0.2569
S 0.5868 0.9144 0.7431
Pm 0.6670 0.3330 0.0000
Y 0.5000 0.5000 0.5000
Y 0.8306 0.1694 0.5000
S 0.9144 0.5868 0.7431
S 0.0856 0.4132 0.2569
S 0.2411 0.2411 0.7413

=====

(2)
Compound: TbPm3Y3S8
Source: Alexandria via LeMat-Bulk
Functional: PBE
Structure: optimized geometry

Values from the calculation:
density of states at the Fermi level	0.456	states/eV per atom
calculated volume	23.5	A^3/atom
VASP energy	-6.812	eV per atom
formation energy without anion corrections	-2.06	eV per atom
symmetry	R-3m

a b c (Å): 7.9076 7.9076 7.9542
angles (deg): 119.81 90.00 120.00
Fractional positions:
S 0.2483 0.9931 0.7414
S 0.7517 0.5033 0.2586
Pm 0.0000 0.5000 0.0000
S 0.2535 0.5069 0.2604
S 0.2552 0.0069 0.2586
Pm 0.5000 0.5000 0.0000
S 0.7448 0.9931 0.7414
Y 0.5000 0.5000 0.5000
S 0.2483 0.4967 0.7414
Y 0.5000 0.0000 0.5000
Pm 0.0000 0.0000 0.0000
S 0.7465 0.4931 0.7396
S 0.7517 0.0069 0.2586
Y 0.0000 0.5000 0.5000
Tb 0.0000 0.0000 0.5000

=====

(3)
Compound: PmTcS
Source: Alexandria via LeMat-Bulk
Functional: PBE
Structure: optimized geometry

Values from the calculation:
density of states at the Fermi level	0.927	states/eV per atom
calculated volume	22.6	A^3/atom
VASP energy	-6.928	eV per atom
formation energy without anion corrections	-0.51	eV per atom
symmetry	R-3m

a b c (Å): 3.8975 3.8975 10.5565
angles (deg): 79.41 79.41 60.01
Fractional positions:
Tc 0.0382 0.0382 0.3857
S 0.3920 0.3920 0.3243
Pm 0.2204 0.2204 0.8396
Tc 0.9618 0.9618 0.6143
S 0.6080 0.6080 0.6757
Pm 0.7796 0.7796 0.1604

=====

(4)
Compound: Pm3Te2S2
Source: Alexandria via LeMat-Bulk
Functional: PBE
Structure: optimized geometry

Values from the calculation:
density of states at the Fermi level	0.245	states/eV per atom
distance to the lowest polymorph of the same formula	0.0000	eV/atom
calculated volume	30.4	A^3/atom
VASP energy	-5.856	eV per atom
formation energy without anion corrections	-1.74	eV per atom
symmetry	C2/m

a b c (Å): 4.1450 7.1353 7.5999
angles (deg): 97.84 90.00 106.88
Fractional positions:
Pm 0.7597 0.5198 0.2397
S 0.3697 0.7397 0.0946
S 0.6303 0.2603 0.9054
Pm 0.2403 0.4802 0.7603
Pm 0.0000 0.0000 0.0000
Te 0.1163 0.2331 0.3801
Te 0.8837 0.7669 0.6199

=====

(5)
Compound: Pm4Te3S
Source: Alexandria via LeMat-Bulk
Functional: PBE
Structure: optimized geometry

Values from the calculation:
density of states at the Fermi level	0.423	states/eV per atom
distance to the lowest polymorph of the same formula	0.0000	eV/atom
calculated volume	29.6	A^3/atom
VASP energy	-5.624	eV per atom
formation energy without anion corrections	-1.55	eV per atom
symmetry	Cmmm

a b c (Å): 4.3044 7.6226 7.6226
angles (deg): 109.01 90.00 90.00
Fractional positions:
Pm 0.0000 0.7848 0.7848
S 0.5000 0.0000 0.0000
Pm 0.5000 0.2261 0.7739
Te 0.5000 0.5000 0.5000
Te 0.0000 0.5000 0.0000
Te 0.0000 0.0000 0.5000
Pm 0.0000 0.2152 0.2152
Pm 0.5000 0.7739 0.2261

=====

(6)
Compound: Pm3Te2S2
Source: Alexandria via LeMat-Bulk
Functional: PBE
Structure: optimized geometry

Values from the calculation:
density of states at the Fermi level	0.243	states/eV per atom
distance to the lowest polymorph of the same formula	0.0811	eV/atom
calculated volume	31.8	A^3/atom
VASP energy	-5.775	eV per atom
formation energy without anion corrections	-1.66	eV per atom
symmetry	C2/m

a b c (Å): 4.1013 6.4163 8.7231
angles (deg): 94.15 103.60 90.00
Fractional positions:
Pm 0.8208 0.2679 0.6416
Te 0.1767 0.2395 0.3535
Pm 0.0000 0.0000 0.0000
S 0.4292 0.2276 0.8585
S 0.5708 0.7724 0.1415
Pm 0.1792 0.7321 0.3584
Te 0.8233 0.7605 0.6465

=====

(7)
Compound: Pm3Te3S
Source: Alexandria via LeMat-Bulk
Functional: PBE
Structure: optimized geometry

Values from the calculation:
density of states at the Fermi level	0.492	states/eV per atom
calculated volume	32.6	A^3/atom
VASP energy	-5.411	eV per atom
formation energy without anion corrections	-1.44	eV per atom
symmetry	C2/m

a b c (Å): 7.8260 7.8260 7.9661
angles (deg): 92.17 92.17 110.56
Fractional positions:
Te 0.1608 0.8392 0.5000
Pm 0.0639 0.0639 0.7998
Te 0.8392 0.1608 0.5000
Te 0.7667 0.2334 0.0000
Pm 0.1851 0.4872 0.3022
Pm 0.5128 0.8149 0.6978
S 0.2320 0.2320 0.0969
Te 0.6301 0.6301 0.3585
Pm 0.4872 0.1851 0.3022
Pm 0.9361 0.9361 0.2002
Te 0.2334 0.7667 0.0000
S 0.7680 0.7680 0.9031
Pm 0.8149 0.5128 0.6978
Te 0.3699 0.3699 0.6415

=====

(8)
Compound: Pm6Te3S2
Source: Alexandria via LeMat-Bulk
Functional: PBE
Structure: optimized geometry

Values from the calculation:
density of states at the Fermi level	0.622	states/eV per atom
calculated volume	29.5	A^3/atom
VASP energy	-5.658	eV per atom
formation energy without anion corrections	-1.46	eV per atom
symmetry	R-3m

a b c (Å): 4.1966 4.1966 21.3808
angles (deg): 84.37 84.37 60.00
Fractional positions:
S 0.4518 0.4518 0.6446
Te 0.0000 0.0000 0.0000
Pm 0.6366 0.6366 0.0902
Pm 0.8089 0.8089 0.5734
Te 0.2708 0.2708 0.1875
Pm 0.3634 0.3634 0.9098
Pm 0.1911 0.1911 0.4266
Te 0.7292 0.7292 0.8125
Pm 0.0952 0.0952 0.7143
Pm 0.9048 0.9048 0.2857
S 0.5482 0.5482 0.3554

=====

Question: Which value of VASP energy does entry 5 give?
Answer: -5.624 eV per atom

=====

Question: What is the VASP energy in the second record?
Answer: -6.812 eV per atom

=====

Question: Look up the VASP energy of the seventh one.
Answer: -5.411 eV per atom

=====

Question: Among the records above, which one has the highest formation energy without anion corrections?
Answer: PmTcS